[1]
Entry from the Alexandria database: a geometry-optimized FeHg5 structure (PBE).

Cell and atoms, written as extended XYZ:
```
6
Lattice="5.634 0.000 0.000 -2.817 4.879 0.000 0.000 0.000 5.877" Properties=species:S:1:pos:R:3 pbc="T T T"
Fe 0.000 0.000 0.000
Hg -1.408 2.439 2.938
Hg 0.000 3.253 0.000
Hg 2.817 0.000 2.938
Hg 1.408 2.439 2.938
Hg 2.817 1.626 0.000
```

Properties
- E_form (eV/atom) = 0.620
- total magnetic moment (Bohr magnetons per cell) = 3.45
- density of states at the Fermi level (states/eV/atom) = 1.334
- SG = P6/mmm (191)
- volume (Å³/cell) = 162

[2]
Entry from the Alexandria database: a geometry-optimized Fe2Hg structure (PBE).

Cell and atoms, written as extended XYZ:
```
6
Lattice="2.953 0.000 0.000 0.000 3.878 0.000 -0.297 0.000 8.810" Properties=species:S:1:pos:R:3 pbc="T T T"
Fe -0.010 0.970 0.899
Fe 1.187 0.970 7.729
Fe 1.469 2.909 1.081
Fe 2.666 2.909 7.911
Hg 1.210 2.909 5.537
Hg 1.446 0.970 3.273
```

Properties
- E_form (eV/atom) = 0.297
- total magnetic moment (Bohr magnetons per cell) = 10.03
- density of states at the Fermi level (states/eV/atom) = 0.758
- SG = P2_1/m (11)
- volume (Å³/cell) = 101

[3]
Entry from the Alexandria database: a geometry-optimized Fe2Hg structure (PBE).

Cell and atoms, written as extended XYZ:
```
6
Lattice="1.463 -8.545 0.000 1.463 8.545 0.000 0.000 0.000 3.922" Properties=species:S:1:pos:R:3 pbc="T T T"
Fe 1.463 7.626 2.942
Fe 1.463 1.060 2.942
Fe 1.463 -1.060 0.981
Fe 1.463 -7.626 0.981
Hg 1.463 3.261 0.981
Hg 1.463 -3.261 2.942
```

Properties
- E_form (eV/atom) = 0.300
- total magnetic moment (Bohr magnetons per cell) = 9.89
- density of states at the Fermi level (states/eV/atom) = 0.796
- SG = Cmcm (63)
- volume (Å³/cell) = 98

[4]
Entry from the Alexandria database: a geometry-optimized FeHg2 structure (PBE).

Cell and atoms, written as extended XYZ:
```
6
Lattice="0.000 3.992 3.992 3.992 0.000 3.992 3.992 3.992 0.000" Properties=species:S:1:pos:R:3 pbc="T T T"
Fe 0.998 0.998 0.998
Fe 6.986 6.986 6.986
Hg 3.992 1.996 1.996
Hg 1.996 3.992 1.996
Hg 1.996 1.996 3.992
Hg 3.992 3.992 3.992
```

Properties
- E_form (eV/atom) = 0.876
- total magnetic moment (Bohr magnetons per cell) = 5.76
- density of states at the Fermi level (states/eV/atom) = 0.730
- SG = Fd-3m (227)
- volume (Å³/cell) = 127

[5]
Entry from the Alexandria database: a geometry-optimized FeHg2 structure (PBE).

Cell and atoms, written as extended XYZ:
```
6
Lattice="4.783 0.000 0.000 -2.391 4.142 0.000 0.000 0.000 5.786" Properties=species:S:1:pos:R:3 pbc="T T T"
Fe 0.000 2.761 1.447
Fe 2.391 1.381 4.340
Hg 0.000 0.000 0.000
Hg 0.000 0.000 2.893
Hg 0.000 2.761 4.340
Hg 2.391 1.381 1.447
```

Properties
- E_form (eV/atom) = 0.569
- total magnetic moment (Bohr magnetons per cell) = 5.52
- density of states at the Fermi level (states/eV/atom) = 1.430
- SG = P6_3/mmc (194)
- volume (Å³/cell) = 115

[6]
Entry from the Alexandria database: a geometry-optimized Fe5Hg structure (PBE).

Cell and atoms, written as extended XYZ:
```
6
Lattice="4.874 0.000 0.000 -2.437 4.221 0.000 0.000 0.000 4.022" Properties=species:S:1:pos:R:3 pbc="T T T"
Fe -1.218 2.110 0.000
Fe 0.000 2.814 2.011
Fe 2.437 0.000 0.000
Fe 1.218 2.110 0.000
Fe 2.437 1.407 2.011
Hg 0.000 0.000 2.011
```

Properties
- E_form (eV/atom) = 0.357
- total magnetic moment (Bohr magnetons per cell) = 11.37
- density of states at the Fermi level (states/eV/atom) = 1.176
- SG = P6/mmm (191)
- volume (Å³/cell) = 83

[7]
Entry from the Alexandria database: a geometry-optimized Fe2Hg structure (PBE).

Cell and atoms, written as extended XYZ:
```
6
Lattice="0.000 3.552 3.552 3.552 0.000 3.552 3.552 3.552 0.000" Properties=species:S:1:pos:R:3 pbc="T T T"
Fe 0.000 0.000 0.000
Fe 1.776 1.776 0.000
Fe 1.776 0.000 1.776
Fe 0.000 1.776 1.776
Hg 2.664 2.664 2.664
Hg 4.440 4.440 4.440
```

Properties
- E_form (eV/atom) = 0.365
- total magnetic moment (Bohr magnetons per cell) = 10.09
- density of states at the Fermi level (states/eV/atom) = 0.701
- SG = Fd-3m (227)
- volume (Å³/cell) = 90

[8]
Entry from the Alexandria database: a geometry-optimized FeHg4 structure (PBE).

Cell and atoms, written as extended XYZ:
```
5
Lattice="1.600 0.924 12.608 -1.600 0.924 12.608 0.000 -1.848 12.608" Properties=species:S:1:pos:R:3 pbc="T T T"
Fe 0.000 0.000 0.000
Hg 0.000 0.000 7.735
Hg 0.000 0.000 14.702
Hg 0.000 0.000 23.121
Hg 0.000 0.000 30.088
```

Properties
- E_form (eV/atom) = 0.308
- total magnetic moment (Bohr magnetons per cell) = 2.88
- density of states at the Fermi level (states/eV/atom) = 0.641
- SG = R-3m (166)
- volume (Å³/cell) = 112

Question: What is the density of states at the Fermi level in the first record?
Answer: 1.334 states/eV/atom

Question: The lowest total magnetic moment belongs to which entry?
Answer: FeHg4

What did the second record say?
Entry from the Alexandria database: a geometry-optimized Fe2Hg structure (PBE).

Cell and atoms, written as extended XYZ:
```
6
Lattice="2.953 0.000 0.000 0.000 3.878 0.000 -0.297 0.000 8.810" Properties=species:S:1:pos:R:3 pbc="T T T"
Fe -0.010 0.970 0.899
Fe 1.187 0.970 7.729
Fe 1.469 2.909 1.081
Fe 2.666 2.909 7.911
Hg 1.210 2.909 5.537
Hg 1.446 0.970 3.273
```

Properties
- E_form (eV/atom) = 0.297
- total magnetic moment (Bohr magnetons per cell) = 10.03
- density of states at the Fermi level (states/eV/atom) = 0.758
- SG = P2_1/m (11)
- volume (Å³/cell) = 101